Entry 1:
The following is a PBE calculation of an optimized crystal structure of Ba5Na2Sr2Ac, from the Alexandria database.

Properties
Crystal system: tetragonal
Symmetry: P4/mbm (127)
Energy (eV/atom): -1.865

The structure in POSCAR format:
```
Ba5Na2Sr2Ac
1.0
15.1486 0.0000 0.0000
0.0000 15.1486 0.0000
0.0000 0.0000 4.8621
Ba Na Sr Ac
10 4 4 2
Cartesian
0.0000 7.5743 0.0000 Ba
0.6868 3.1081 0.0000 Ba
3.1081 14.4618 0.0000 Ba
4.4662 6.8875 0.0000 Ba
6.8875 10.6824 0.0000 Ba
7.5743 0.0000 0.0000 Ba
8.2611 4.4662 0.0000 Ba
10.6824 8.2611 0.0000 Ba
12.0405 0.6868 0.0000 Ba
14.4618 12.0405 0.0000 Ba
2.0117 5.5626 2.4310 Na
5.5626 13.1369 2.4310 Na
9.5860 2.0117 2.4310 Na
13.1369 9.5860 2.4310 Na
2.7751 10.3494 2.4310 Sr
4.7992 2.7751 2.4310 Sr
10.3494 12.3735 2.4310 Sr
12.3735 4.7992 2.4310 Sr
0.0000 0.0000 2.4310 Ac
7.5743 7.5743 2.4310 Ac
```


Entry 2:
The following is a PBE calculation of an optimized crystal structure of K2CuAuO, from the Alexandria database.

Properties
Crystal system: tetragonal
Symmetry: P4/mmm (123)
E_form (uncorrected) (eV per atom): -0.645
Energy (eV/atom): -3.550
Excess energy over the best structure of this formula in the dataset (meV/atom): 0

The structure in POSCAR format:
```
K2CuAuO
1.0
5.7213 0.0000 0.0000
0.0000 5.7213 0.0000
0.0000 0.0000 3.6531
K Cu Au O
2 1 1 1
Cartesian
0.0000 2.8606 0.0000 K
2.8606 0.0000 0.0000 K
0.0000 0.0000 1.8265 Cu
2.8606 2.8606 1.8265 Au
0.0000 0.0000 0.0000 O
```


Entry 3:
The following is a PBE calculation of an optimized crystal structure of Np3ZnPd12, from the Alexandria database.

Properties
Crystal system: tetragonal
Symmetry: P4/mmm (123)
Energy (eV/atom): -6.814

The structure in POSCAR format:
```
Np3ZnPd12
1.0
4.1114 0.0000 0.0000
0.0000 4.1114 0.0000
0.0000 0.0000 16.1729
Np Zn Pd
3 1 12
Cartesian
0.0000 0.0000 0.0000 Np
0.0000 0.0000 4.2311 Np
0.0000 0.0000 11.9417 Np
0.0000 0.0000 8.0864 Zn
0.0000 2.0557 2.0972 Pd
0.0000 2.0557 6.1953 Pd
0.0000 2.0557 9.9776 Pd
0.0000 2.0557 14.0756 Pd
2.0557 0.0000 2.0972 Pd
2.0557 0.0000 6.1953 Pd
2.0557 0.0000 9.9776 Pd
2.0557 0.0000 14.0756 Pd
2.0557 2.0557 0.0000 Pd
2.0557 2.0557 4.1403 Pd
2.0557 2.0557 8.0864 Pd
2.0557 2.0557 12.0326 Pd
```


Entry 4:
The following is a PBE calculation of an optimized crystal structure of Cs2AcIO6, from the Alexandria database.

Properties
Crystal system: trigonal
Symmetry: R-3m (166)
E_form (uncorrected) (eV per atom): -1.597
Energy (eV/atom): -5.308

The structure in POSCAR format:
```
Cs2AcIO6
1.0
3.3181 1.9157 10.4704
-3.3181 1.9157 10.4704
0.0000 -3.8314 10.4704
Cs Ac I O
4 2 2 12
Cartesian
0.0000 0.0000 4.1544 Cs
0.0000 0.0000 8.2903 Cs
0.0000 0.0000 23.1210 Cs
0.0000 0.0000 27.2569 Cs
0.0000 0.0000 12.4578 Ac
0.0000 0.0000 18.9536 Ac
0.0000 0.0000 0.0000 I
0.0000 0.0000 15.7057 I
0.0000 -2.2541 11.5676 O
-1.9521 1.1270 11.5676 O
-1.3246 -0.7648 14.5420 O
-1.9521 -1.1270 19.8437 O
0.0000 -1.5295 16.8694 O
-1.3246 0.7648 16.8694 O
1.3246 -0.7648 14.5420 O
0.0000 1.5295 14.5420 O
1.9521 1.1270 11.5677 O
1.3246 0.7648 16.8693 O
1.9521 -1.1270 19.8437 O
0.0000 2.2541 19.8437 O
```


Entry 5:
The following is a PBE calculation of an optimized crystal structure of Mg14WC, from the Alexandria database.

Properties
Crystal system: orthorhombic
Symmetry: Amm2 (38)
Energy (eV/atom): -2.595
Excess energy over the best structure of this formula in the dataset (meV/atom): 0

The structure in POSCAR format:
```
Mg14WC
1.0
9.1568 0.0000 0.0000
0.0000 3.9397 4.7838
0.0000 -3.9397 4.7838
Mg W C
14 1 1
Cartesian
0.0000 0.0000 0.0000 Mg
0.0000 0.0000 4.7178 Mg
0.0000 -1.8942 7.1202 Mg
0.0000 1.8942 7.1202 Mg
2.2407 0.0000 2.5866 Mg
2.3427 0.0000 6.8177 Mg
2.5704 -2.2336 4.6698 Mg
2.5704 2.2336 4.6698 Mg
4.5784 -1.7921 2.3380 Mg
4.5784 1.7921 2.3380 Mg
6.5864 -2.2336 4.6698 Mg
6.5864 2.2336 4.6698 Mg
6.8141 0.0000 6.8177 Mg
6.9161 0.0000 2.5866 Mg
4.5784 0.0000 4.7394 W
4.5784 0.0000 6.6314 C
```


Entry 6:
The following is a PBE calculation of an optimized crystal structure of Li2CuBr4, from the Alexandria database.

Properties
Crystal system: tetragonal
Symmetry: I4/mmm (139)
E_form (uncorrected) (eV per atom): -0.790
Energy (eV/atom): -2.878
Excess energy over the best structure of this formula in the dataset (meV/atom): 164

The structure in POSCAR format:
```
Li2CuBr4
1.0
5.1776 0.0000 0.0000
0.0000 5.1776 0.0000
0.0000 0.0000 13.3952
Li Cu Br
4 2 8
Cartesian
0.0000 0.0000 1.7183 Li
0.0000 0.0000 11.6769 Li
2.5888 2.5888 4.9793 Li
2.5888 2.5888 8.4159 Li
0.0000 0.0000 6.6976 Cu
2.5888 2.5888 0.0000 Cu
0.0000 0.0000 4.2082 Br
0.0000 0.0000 9.1870 Br
0.0000 2.5888 0.0000 Br
0.0000 2.5888 6.6976 Br
2.5888 0.0000 0.0000 Br
2.5888 0.0000 6.6976 Br
2.5888 2.5888 2.4894 Br
2.5888 2.5888 10.9058 Br
```


Entry 7:
The following is a PBE calculation of an optimized crystal structure of La4Sb3I, from the Alexandria database.

Properties
Crystal system: tetragonal
Symmetry: I4/mmm (139)
E_form (uncorrected) (eV per atom): -1.263
Energy (eV/atom): -5.466

The structure in POSCAR format:
```
La4Sb3I
1.0
6.5196 0.0000 0.0000
0.0000 6.5196 0.0000
0.0000 0.0000 13.0752
La Sb I
8 6 2
Cartesian
0.0000 0.0000 3.1523 La
0.0000 0.0000 9.9228 La
0.0000 3.2598 0.0000 La
0.0000 3.2598 6.5376 La
3.2598 0.0000 0.0000 La
3.2598 0.0000 6.5376 La
3.2598 3.2598 3.3852 La
3.2598 3.2598 9.6899 La
0.0000 0.0000 0.0000 Sb
0.0000 3.2598 3.2688 Sb
0.0000 3.2598 9.8064 Sb
3.2598 0.0000 3.2688 Sb
3.2598 0.0000 9.8064 Sb
3.2598 3.2598 6.5376 Sb
0.0000 0.0000 6.5376 I
3.2598 3.2598 0.0000 I
```


Entry 8:
The following is a PBE calculation of an optimized crystal structure of NiOsRh2, from the Alexandria database.

Properties
Crystal system: cubic
Symmetry: F-43m (216)
Energy (eV/atom): -7.556
Excess energy over the best structure of this formula in the dataset (meV/atom): 335

The structure in POSCAR format:
```
NiOsRh2
1.0
6.0318 0.0000 0.0000
0.0000 6.0318 0.0000
0.0000 0.0000 6.0318
Ni Os Rh
4 4 8
Cartesian
0.0000 0.0000 0.0000 Ni
0.0000 3.0159 3.0159 Ni
3.0159 0.0000 3.0159 Ni
3.0159 3.0159 0.0000 Ni
1.5080 1.5080 1.5080 Os
1.5080 4.5239 4.5239 Os
4.5239 1.5080 4.5239 Os
4.5239 4.5239 1.5080 Os
0.0000 0.0000 3.0159 Rh
0.0000 3.0159 0.0000 Rh
1.5080 1.5080 4.5239 Rh
1.5080 4.5239 1.5080 Rh
3.0159 0.0000 0.0000 Rh
3.0159 3.0159 3.0159 Rh
4.5239 1.5080 1.5080 Rh
4.5239 4.5239 4.5239 Rh
```


Entry 9:
The following is a PBE calculation of an optimized crystal structure of TeSe, from the Alexandria database.

Properties
Crystal system: triclinic
Symmetry: P-1 (2)
E_form (uncorrected) (eV per atom): 0.095
Energy (eV/atom): -3.218

The structure in POSCAR format:
```
TeSe
1.0
4.7240 0.0000 0.0000
0.0290 4.7357 0.0000
0.9340 2.3529 6.2152
Te Se
2 2
Cartesian
0.6103 2.3627 1.4090 Te
5.0767 4.7258 4.8062 Te
1.5041 2.3623 4.3629 Se
4.1829 4.7262 1.8522 Se
```


Entry 10:
The following is a PBE calculation of an optimized crystal structure of YSnCl3, from the Alexandria database.

Properties
Crystal system: cubic
Symmetry: Pm-3m (221)
E_form (uncorrected) (eV per atom): -0.444
Energy (eV/atom): -3.645
Excess energy over the best structure of this formula in the dataset (meV/atom): 721

The structure in POSCAR format:
```
YSnCl3
1.0
5.5105 0.0000 0.0000
0.0000 5.5105 0.0000
0.0000 0.0000 5.5105
Y Sn Cl
1 1 3
Cartesian
0.0000 0.0000 0.0000 Y
2.7553 2.7553 2.7553 Sn
0.0000 2.7553 2.7553 Cl
2.7553 0.0000 2.7553 Cl
2.7553 2.7553 0.0000 Cl
```


For the records above, the corresponding ρ values read 3.4 4.9 12.5 6.0 2.6 3.7 6.3 13.8 4.9 3.1 Mg/m³.